# Ni2SeF GGA+U relaxed
data_Ni2SeF
_cell_length_a 4.173
_cell_length_b 4.173
_cell_length_c 4.173
_cell_angle_alpha 60.00
_cell_angle_beta 60.00
_cell_angle_gamma 60.00
_symmetry_space_group_name_H-M 'P 1'
_symmetry_Int_Tables_number 1
loop_
_symmetry_equiv_pos_as_xyz
'x,y,z'
loop_
_atom_site_label
_atom_site_type_symbol
_atom_site_fract_x
_atom_site_fract_y
_atom_site_fract_z
F1 F 0.000 0.000 0.000
Ni1 Ni 0.250 0.250 0.250
Ni2 Ni 0.750 0.750 0.750
Se1 Se 0.500 0.500 0.500
# ΔE to the lowest computed polymorph = 561 meV/atom
# crystal system = cubic

# NiSe2F GGA+U relaxed
data_NiSe2F
_cell_length_a 5.282
_cell_length_b 5.282
_cell_length_c 6.824
_cell_angle_alpha 67.23
_cell_angle_beta 67.23
_cell_angle_gamma 90.00
_symmetry_space_group_name_H-M 'P 1'
_symmetry_Int_Tables_number 1
loop_
_symmetry_equiv_pos_as_xyz
'x,y,z'
loop_
_atom_site_label
_atom_site_type_symbol
_atom_site_fract_x
_atom_site_fract_y
_atom_site_fract_z
Se1 Se 0.875 0.925 0.750
Se2 Se 0.375 0.325 0.750
Se3 Se 0.075 0.625 0.250
Se4 Se 0.675 0.125 0.250
F1 F 0.250 0.750 0.500
F2 F 0.500 0.500 0.000
Ni1 Ni 0.750 0.250 0.500
Ni2 Ni 0.000 0.000 0.000
# ΔE to the lowest computed polymorph = 387 meV/atom
# crystal system = tetragonal

# NiSe2F GGA+U relaxed
data_NiSe2F
_cell_length_a 8.859
_cell_length_b 8.859
_cell_length_c 8.859
_cell_angle_alpha 18.46
_cell_angle_beta 18.46
_cell_angle_gamma 18.46
_symmetry_space_group_name_H-M 'P 1'
_symmetry_Int_Tables_number 1
loop_
_symmetry_equiv_pos_as_xyz
'x,y,z'
loop_
_atom_site_label
_atom_site_type_symbol
_atom_site_fract_x
_atom_site_fract_y
_atom_site_fract_z
Se1 Se 0.912 0.912 0.912
Se2 Se 0.088 0.088 0.088
F1 F 0.500 0.500 0.500
Ni1 Ni 0.000 0.000 0.000
# ΔE to the lowest computed polymorph = 578 meV/atom
# crystal system = trigonal

# NiSeF2 GGA+U relaxed
data_NiSeF2
_cell_length_a 5.620
_cell_length_b 5.620
_cell_length_c 6.330
_cell_angle_alpha 63.64
_cell_angle_beta 63.64
_cell_angle_gamma 90.00
_symmetry_space_group_name_H-M 'P 1'
_symmetry_Int_Tables_number 1
loop_
_symmetry_equiv_pos_as_xyz
'x,y,z'
loop_
_atom_site_label
_atom_site_type_symbol
_atom_site_fract_x
_atom_site_fract_y
_atom_site_fract_z
F1 F 0.375 0.573 0.750
F2 F 0.427 0.125 0.250
F3 F 0.875 0.677 0.750
F4 F 0.323 0.625 0.250
Se1 Se 0.750 0.250 0.500
Se2 Se 0.000 0.000 0.000
Ni1 Ni 0.500 0.500 0.000
Ni2 Ni 0.250 0.750 0.500
# ΔE to the lowest computed polymorph = 573 meV/atom
# crystal system = tetragonal